# Y2ZnTc2

Crystalline Y2ZnTc2 at its relaxed geometry (PBE, Alexandria via LeMat-Bulk).

a = 6.848 Å, b = 6.848 Å, c = 4.459 Å
α = 90.00°, β = 90.00°, γ = 90.00°
Space group P4/mbm (No. 127)
Unique sites:
Y 0.178 0.322 0.000 (multiplicity 4)
Zn 0.000 0.000 0.500 (multiplicity 2)
Tc 0.121 0.621 0.500 (multiplicity 4)

Output
The calculation puts the total DFT energy (no corrections) at -7.040 eV/atom. The calculation puts the volume at 20.910 Å³/atom. As for the formation energy: -0.054 eV/atom. Its crystal system is tetragonal.